[1]
Crystalline RbMnCl3 at its relaxed geometry. Source: Alexandria, functional GGA-PBEsol.

It has space group P6_3/mmc (No. 194), with a = 7.0182 Å, b = 7.0182 Å, c = 6.1005 Å, α = 90.00°, β = 90.00° and γ = 120.00°. Symmetry generates all atoms from Rb at (0.3333, 0.6667, 0.2500), Mn at (0.0000, 0.0000, 0.0000) and Cl at (0.1628, 0.3256, 0.7500).

The calculation puts the total energy at -4.76 eV per atom.


[2]
Crystalline RbZr6MnCl14 at its relaxed geometry. Source: Alexandria, functional GGA-PBEsol.

It has space group Cmce (No. 64), with a = 14.3605 Å, b = 12.8205 Å, c = 11.7290 Å, α = 90.00°, β = 90.00° and γ = 90.00°. Symmetry generates all atoms from Rb at (0.0000, 0.0000, 0.0000), Zr at (0.0000, 0.1512, 0.3848), Zr at (0.1211, 0.0753, 0.6178), Mn at (0.0000, 0.0000, 0.5000), Cl at (0.0000, 0.1602, 0.7579), Cl at (0.1227, 0.0821, 0.2473), Cl at (0.1226, 0.2453, 0.5039), Cl at (0.2474, 0.0000, 0.0000) and Cl at (0.2500, 0.1580, 0.7500).

The calculation puts the total energy at -5.94 eV per atom.


[3]
Crystalline MnRe2Cl at its relaxed geometry. Source: Alexandria, functional GGA-PBEsol.

It has space group P2/m (No. 10), with a = 4.5218 Å, b = 2.7868 Å, c = 4.8004 Å, α = 90.00°, β = 109.26° and γ = 90.00°. Symmetry generates all atoms from Mn at (0.0000, 0.0000, 0.0000), Re at (0.5000, 0.0000, 0.5000), Re at (0.5000, 0.5000, 0.0000) and Cl at (0.0000, 0.5000, 0.5000).

The energy relative to the lowest polymorph listed for this composition is 519 meV/atom. The calculation puts the total energy at -8.70 eV per atom.


[4]
Crystalline MnRe2Cl at its relaxed geometry. Source: Alexandria, functional GGA-PBEsol.

It has space group P4mm (No. 99), with a = 2.9247 Å, b = 2.9247 Å, c = 7.1802 Å, α = 90.00°, β = 90.00° and γ = 90.00°. Symmetry generates all atoms from Mn at (0.0000, 0.0000, 0.0000), Re at (0.0000, 0.0000, 0.4644), Re at (0.5000, 0.5000, 0.2538) and Cl at (0.5000, 0.5000, 0.7435).

The energy relative to the lowest polymorph listed for this composition is 0 meV/atom. The calculation puts the total energy at -9.22 eV per atom.


[5]
Crystalline MnRe2Cl at its relaxed geometry. Source: Alexandria, functional GGA-PBEsol.

It has space group Pmmm (No. 47), with a = 2.7552 Å, b = 4.4985 Å, c = 4.6281 Å, α = 90.00°, β = 90.00° and γ = 90.00°. Symmetry generates all atoms from Mn at (0.0000, 0.0000, 0.0000), Re at (0.0000, 0.5000, 0.5000), Re at (0.5000, 0.5000, 0.0000) and Cl at (0.5000, 0.0000, 0.5000).

The energy relative to the lowest polymorph listed for this composition is 508 meV/atom. The calculation puts the total energy at -8.71 eV per atom.


[6]
Crystalline MnRe2Cl at its relaxed geometry. Source: Alexandria, functional GGA-PBEsol.

It has space group P4/mmm (No. 123), with a = 2.8858 Å, b = 2.8858 Å, c = 6.4638 Å, α = 90.00°, β = 90.00° and γ = 90.00°. Symmetry generates all atoms from Mn at (0.0000, 0.0000, 0.0000), Re at (0.5000, 0.5000, 0.2285) and Cl at (0.0000, 0.0000, 0.5000).

The energy relative to the lowest polymorph listed for this composition is 256 meV/atom. The calculation puts the total energy at -8.96 eV per atom.


[7]
Crystalline MnRhCl2 at its relaxed geometry. Source: Alexandria, functional GGA-PBEsol.

It has space group R-3m (No. 166, hexagonal axes), with a = 3.1094 Å, b = 3.1094 Å, c = 23.3392 Å, α = 90.00°, β = 90.00° and γ = 120.00°. Symmetry generates all atoms from Mn at (0.0000, 0.0000, 0.0000), Rh at (0.0000, 0.0000, 0.5000) and Cl at (0.0000, 0.0000, 0.4029).

The energy relative to the lowest polymorph listed for this composition is 31 meV/atom. The calculation puts the total energy at -5.50 eV per atom.


[8]
Crystalline MnRhCl2 at its relaxed geometry. Source: Alexandria, functional GGA-PBEsol.

It has space group P4/mmm (No. 123), with a = 4.3335 Å, b = 4.3335 Å, c = 3.2051 Å, α = 90.00°, β = 90.00° and γ = 90.00°. Symmetry generates all atoms from Mn at (0.0000, 0.0000, 0.0000), Rh at (0.5000, 0.5000, 0.0000) and Cl at (0.0000, 0.5000, 0.5000).

The energy relative to the lowest polymorph listed for this composition is 295 meV/atom. The calculation puts the total energy at -5.23 eV per atom.


[9]
Crystalline MnRhCl2 at its relaxed geometry. Source: Alexandria, functional GGA-PBEsol.

It has space group Cmmm (No. 65), with a = 3.0192 Å, b = 5.5528 Å, c = 7.7507 Å, α = 90.00°, β = 90.00° and γ = 90.00°. Symmetry generates all atoms from Mn at (0.0000, 0.0000, 0.0000), Rh at (0.0000, 0.0000, 0.5000) and Cl at (0.0000, 0.5000, 0.2390).

The energy relative to the lowest polymorph listed for this composition is 256 meV/atom. The calculation puts the total energy at -5.27 eV per atom.


[10]
Crystalline MnRhCl2 at its relaxed geometry. Source: Alexandria, functional GGA-PBEsol.

It has space group P4mm (No. 99), with a = 3.0034 Å, b = 3.0034 Å, c = 7.5729 Å, α = 90.00°, β = 90.00° and γ = 90.00°. Symmetry generates all atoms from Mn at (0.0000, 0.0000, 0.0000), Rh at (0.5000, 0.5000, 0.2132), Cl at (0.0000, 0.0000, 0.4115) and Cl at (0.5000, 0.5000, 0.8041).

The energy relative to the lowest polymorph listed for this composition is 0 meV/atom. The calculation puts the total energy at -5.53 eV per atom.


[11]
Crystalline MnRhSCl2 at its relaxed geometry. Source: Alexandria, functional GGA-PBEsol.

It has space group P4/mmm (No. 123), with a = 4.4905 Å, b = 4.4905 Å, c = 4.7303 Å, α = 90.00°, β = 90.00° and γ = 90.00°. Symmetry generates all atoms from Mn at (0.0000, 0.0000, 0.0000), Rh at (0.5000, 0.5000, 0.5000), S at (0.0000, 0.0000, 0.5000) and Cl at (0.0000, 0.5000, 0.0000).

The calculation puts the total energy at -4.87 eV per atom.


[12]
Crystalline MnRu2Cl at its relaxed geometry. Source: Alexandria, functional GGA-PBEsol.

It has space group P4/mmm (No. 123), with a = 2.9260 Å, b = 2.9260 Å, c = 6.3675 Å, α = 90.00°, β = 90.00° and γ = 90.00°. Symmetry generates all atoms from Mn at (0.0000, 0.0000, 0.0000), Ru at (0.5000, 0.5000, 0.2172) and Cl at (0.0000, 0.0000, 0.5000).

The energy relative to the lowest polymorph listed for this composition is 0 meV/atom. The calculation puts the total energy at -7.61 eV per atom.


So what do the calculations give for size of the total moment? Going down the list: 10.0; 0.0; 3.1; 4.0; 2.4; 1.0; 11.5; 4.8; 5.9; 3.3; 5.9; 2.2 μB per cell.
So what do the calculations give for formation energy from raw total energies? Going down the list: -1401; -1691; 907; 388; 896; 644; -17; 248; 209; -47; 387; 415 meV/atom.